Compound: MnInSb2
Source: Alexandria
Functional: PBE-GGA
Structure: relaxed

Results
The density of states at the Fermi level is 0.52 states/eV per atom. The theoretical density is 6.7 g cm⁻³. Its crystal system is monoclinic. The calculation puts the final energy at -19.1 eV per cell.

a b c (Å): 6.0724 5.1180 4.3870
angles (deg): 77.38 69.26 116.20
With the nearest neighbours (Å) after each atom.
Positions (direct):
Mn1 0.5000 0.5000 0.0000  4 Sb 2.98, 2 In 3.05
Sb1 0.0000 0.0000 0.0000  2 Mn 2.98, 2 In 2.98, 2 Sb 3.05
Sb2 0.5000 0.0000 0.5000  2 In 2.98, 2 Mn 2.98, 2 Sb 3.05
In1 0.0000 0.5000 0.5000  4 Sb 2.98, 2 Mn 3.05

---

Compound: Pm4PrSn
Source: Alexandria
Functional: PBE-GGA
Structure: relaxed

Results
The density of states at the Fermi level is 1.44 states/eV per atom. The theoretical density is 6.6 g cm⁻³. Its crystal system is monoclinic. The value obtained for the energy relative to the elements is -7.10 kJ per mole of atoms.

a b c (Å): 5.7423 8.7940 8.8360
angles (deg): 90.00 90.00 109.06
With the nearest neighbours (Å) after each atom.
Positions (direct):
Sn1 0.9529 0.4050 0.2500  6 Pm 3.10-3.40, 2 Pr 3.44
Sn2 0.0471 0.5950 0.7500  6 Pm 3.10-3.40, 2 Pr 3.44
Pm1 0.1319 0.7626 0.4361  2 Sn 3.10-3.40, 1 Pm 3.29
Pm2 0.4664 0.4334 0.7500  2 Sn 3.17, 1 Pr 3.23, 1 Pm 3.30
Pm3 0.8681 0.2374 0.5639  2 Sn 3.10-3.40, 1 Pm 3.29
Pm4 0.8681 0.2374 0.9361  2 Sn 3.10-3.40, 1 Pm 3.29
Pm5 0.7324 0.9640 0.2500  3 Pm 3.30-3.59, 2 Pr 3.38, 1 Sn 3.67
Pm6 0.5336 0.5666 0.2500  2 Sn 3.17, 1 Pr 3.23, 1 Pm 3.30
Pm7 0.1319 0.7626 0.0639  2 Sn 3.10-3.40, 1 Pm 3.29
Pm8 0.2676 0.0360 0.7500  3 Pm 3.30-3.59, 2 Pr 3.38, 1 Sn 3.67
Pr1 0.6606 0.8220 0.7500  3 Pm 3.23-3.38, 2 Sn 3.44
Pr2 0.3394 0.1780 0.2500  3 Pm 3.23-3.38, 2 Sn 3.44

---

Compound: Cs12K5Au2
Source: Alexandria
Functional: PBE-GGA
Structure: relaxed

Results
The density of states at the Fermi level is 0.88 states/eV per atom. The theoretical density is 2.2 g cm⁻³. Its crystal system is monoclinic. The value obtained for the energy relative to the elements is -4.71 kJ per mole of atoms.

a b c (Å): 9.7079 12.5110 14.3691
angles (deg): 92.12 109.74 90.00
With the nearest neighbours (Å) after each atom.
Positions (direct):
Cs1 0.8579 0.9183 0.2459  1 Au 3.60
Cs2 0.6120 0.0817 0.7541  1 Au 3.60
Cs3 0.1421 0.0817 0.7541  1 Au 3.60
Cs4 0.4062 0.5203 0.3126  5 Cs 4.85-5.27, 5 K 4.87-5.31
Cs5 0.4726 0.7398 0.9451  2 Au 3.63
Cs6 0.0348 0.1621 0.0695  2 Au 4.01, 1 K 4.37, 1 Cs 4.40
Cs7 0.9064 0.5203 0.3126  5 Cs 4.85-5.27, 5 K 4.87-5.31
Cs8 0.0936 0.4797 0.6874  5 Cs 4.85-5.27, 5 K 4.87-5.31
Cs9 0.5274 0.2602 0.0549  2 Au 3.63
Cs10 0.5938 0.4797 0.6874  5 Cs 4.85-5.27, 5 K 4.87-5.31
Cs11 0.9652 0.8379 0.9305  2 Au 4.01, 1 K 4.37, 1 Cs 4.40
Cs12 0.3880 0.9183 0.2459  1 Au 3.60
Au1 0.3456 0.0000 0.0000  1 Au 3.00
Au2 0.6544 0.0000 0.0000  1 Au 3.00
K1 0.2232 0.1966 0.4464  3 K 4.86-5.18, 9 Cs 5.00-5.31
K2 0.0000 0.5000 0.0000  6 Cs 4.37-4.87
K3 0.2724 0.8006 0.5447  3 K 4.86-5.18, 8 Cs 4.98-5.21
K4 0.7276 0.1994 0.4553  3 K 4.86-5.18, 8 Cs 4.98-5.21
K5 0.7768 0.8034 0.5536  3 K 4.86-5.18, 9 Cs 5.00-5.31

---

Which value of theoretical density does entry 3 give? 2.2 g cm⁻³